## Ta2TeAu (PBE-GGA)

Data for Ta2TeAu after structural relaxation.

Values from the calculation:
Uncorrected formation energy = 0.107 eV/atom
SG = P4mm

```
data_Ta2TeAu
_symmetry_space_group_name_H-M 'P 1'
_symmetry_Int_Tables_number 1
_cell_length_a 3.470
_cell_length_b 3.470
_cell_length_c 6.767
_cell_angle_alpha 90.00
_cell_angle_beta 90.00
_cell_angle_gamma 90.00
loop_
_symmetry_equiv_pos_as_xyz
'x,y,z'
loop_
_atom_site_label
_atom_site_type_symbol
_atom_site_fract_x
_atom_site_fract_y
_atom_site_fract_z
Au1 Au 0.500 0.500 0.793
Ta1 Ta 0.000 0.000 0.010
Ta2 Ta 0.500 0.500 0.231
Te1 Te 0.000 0.000 0.467
```